A plane-wave DFT calculation with GGA-PBE was carried out for crystalline Er2ThAg2Hg2 at its relaxed geometry.

The formation enthalpy at 0 K comes out at -166 meV/atom. Its total DFT energy (no corrections) is -72.0 eV per cell.

The space group is R-3m (No. 166, hexagonal axes) and the conventional cell measures 4.8698, 4.8698 and 26.0457 Å, with angles of 90.00, 90.00 and 120.00 degrees. The asymmetric unit holds Er at (0.0000, 0.0000, 0.1249), Th at (0.0000, 0.0000, 0.0000), Ag at (0.0000, 0.0000, 0.4012) and Hg at (0.0000, 0.0000, 0.2549).